No. 1
First-principles (SCAN) data for a crystal of Ba4PrErCu6O14 relaxed with PBEsol, as listed in Alexandria via LeMat-Bulk.

```
Ba4PrErCu6O14
1.0
3.820 0.000 0.000
0.000 3.878 0.000
0.000 0.000 23.123
Ba Pr Er Cu O
4 1 1 6 14
Cartesian
0.000 0.000 3.630
0.000 0.000 7.813
0.000 0.000 15.310
0.000 0.000 19.493
0.000 0.000 11.561
0.000 0.000 0.000
1.910 1.939 1.667
1.910 1.939 5.715
1.910 1.939 9.741
1.910 1.939 13.382
1.910 1.939 17.408
1.910 1.939 21.456
0.000 1.939 1.373
0.000 1.939 10.030
0.000 1.939 13.093
0.000 1.939 21.750
1.910 0.000 1.378
1.910 0.000 5.708
1.910 0.000 10.016
1.910 0.000 13.107
1.910 0.000 17.415
1.910 0.000 21.745
1.910 1.939 3.858
1.910 1.939 7.567
1.910 1.939 15.556
1.910 1.939 19.265
```

## Properties
**Density**: 7.1 g/cm3
**Raw total energy**: -18.592 eV per atom
**DOS(E_F)**: 6.0 states/eV/cell
**M_tot**: 0.000 μB per atom



No. 2
First-principles (SCAN) data for a crystal of La4AsIr relaxed with PBEsol, as listed in Alexandria via LeMat-Bulk.

```
La4AsIr
1.0
0.000 4.271 4.271
4.271 0.000 4.271
4.271 4.271 0.000
La As Ir
4 1 1
Cartesian
1.069 1.069 1.069
3.202 3.202 1.069
3.202 1.069 3.202
1.069 3.202 3.202
4.271 4.271 4.271
6.407 6.407 6.407
```

## Properties
**Density**: 8.8 g/cm3
**DFT formation energy**: 0.3630 eV per atom
**DOS(E_F)**: 8.3 states/eV/cell
**M_tot**: 0.000 μB per atom



No. 3
First-principles (SCAN) data for a crystal of SrLa2SiPd relaxed with PBEsol, as listed in Alexandria via LeMat-Bulk.

```
SrLa2SiPd
1.0
5.594 0.000 0.000
0.000 5.594 0.000
0.000 0.000 5.712
Sr La Si Pd
1 2 1 1
Cartesian
0.000 0.000 0.000
0.000 2.797 2.856
2.797 0.000 2.856
0.000 0.000 2.856
2.797 2.797 0.000
```

## Properties
**Density**: 4.6 g/cm3
**Raw total energy**: -30.161 eV per atom
**DOS(E_F)**: 5.3 states/eV/cell
**M_tot**: 0.000 μB per atom



No. 4
First-principles (SCAN) data for a crystal of BeCuAu2C relaxed with PBEsol, as listed in Alexandria via LeMat-Bulk.

```
BeCuAu2C
1.0
4.243 0.000 0.000
0.000 4.243 0.000
0.000 0.000 3.765
Be Cu Au C
1 1 2 1
Cartesian
0.000 0.000 0.000
2.122 2.122 0.000
0.000 2.122 1.883
2.122 0.000 1.883
2.122 2.122 1.883
```

## Properties
**Density**: 11.7 g/cm3
**DFT formation energy**: 0.7504 eV per atom
**DOS(E_F)**: 0.9 states/eV/cell
**M_tot**: 0.000 μB per atom



No. 5
First-principles (SCAN) data for a crystal of TlCd2W relaxed with PBEsol, as listed in Alexandria via LeMat-Bulk.

```
TlCd2W
1.0
6.876 0.000 0.000
0.000 6.876 0.000
0.000 0.000 6.876
Tl Cd W
4 8 4
Cartesian
0.000 0.000 0.000
0.000 3.438 3.438
3.438 0.000 3.438
3.438 3.438 0.000
1.719 1.719 1.719
1.719 1.719 5.157
1.719 5.157 1.719
1.719 5.157 5.157
5.157 1.719 1.719
5.157 1.719 5.157
5.157 5.157 1.719
5.157 5.157 5.157
0.000 0.000 3.438
0.000 3.438 0.000
3.438 0.000 0.000
3.438 3.438 3.438
```

## Properties
**Density**: 12.5 g/cm3
**Energy relative to the lowest polymorph listed for this composition**: 226.5 kJ/mol of formula units
**DFT formation energy**: 1.1319 eV per atom
**DOS(E_F)**: 9.2 states/eV/cell
**M_tot**: 0.703 μB per atom



No. 6
First-principles (SCAN) data for a crystal of Ta2Mn relaxed with PBEsol, as listed in Alexandria via LeMat-Bulk.

```
Ta2Mn
1.0
3.102 0.000 0.000
0.000 13.239 0.000
0.000 0.000 4.425
Ta Mn
8 4
Cartesian
0.000 1.011 1.106
0.000 3.207 3.319
0.000 10.032 1.106
0.000 12.228 3.319
1.551 3.412 1.106
1.551 5.608 3.319
1.551 7.630 1.106
1.551 9.826 3.319
0.000 5.549 1.106
0.000 7.689 3.319
1.551 1.070 3.319
1.551 12.169 1.106
```

## Properties
**Density**: 15.2 g/cm3
**DFT formation energy**: -0.1484 eV per atom
**DOS(E_F)**: 4.9 states/eV/cell
**M_tot**: 0.000 μB per atom



No. 7
First-principles (SCAN) data for a crystal of SrTcSb2 relaxed with PBEsol, as listed in Alexandria via LeMat-Bulk.

```
SrTcSb2
1.0
7.948 0.000 0.000
0.000 7.948 0.000
0.000 0.000 6.737
Sr Tc Sb
4 4 8
Cartesian
0.000 0.000 0.000
0.000 3.974 1.684
3.974 0.000 5.053
3.974 3.974 3.369
0.000 0.000 3.369
0.000 3.974 5.053
3.974 0.000 1.684
3.974 3.974 0.000
1.456 1.987 4.211
1.987 5.430 5.895
1.987 6.492 2.527
2.518 1.987 0.842
5.430 5.961 0.842
5.961 1.456 2.527
5.961 2.518 5.895
6.492 5.961 4.211
```

## Properties
**Density**: 6.7 g/cm3
**Energy relative to the lowest polymorph listed for this composition**: 9.8 kJ/mol of formula units
**DOS(E_F)**: 13.2 states/eV/cell
**M_tot**: 0.001 μB per atom



No. 8
First-principles (SCAN) data for a crystal of Y2ZrTl relaxed with PBEsol, as listed in Alexandria via LeMat-Bulk.

```
Y2ZrTl
1.0
3.452 0.000 0.000
0.000 4.465 0.000
0.000 0.000 6.639
Y Zr Tl
2 1 1
Cartesian
0.000 0.000 0.000
1.726 2.233 1.838
0.000 0.000 3.396
1.726 2.233 5.006
```

## Properties
**Density**: 7.7 g/cm3
**DFT formation energy**: -0.1255 eV per atom
**DOS(E_F)**: 4.5 states/eV/cell
**M_tot**: 0.000 μB per atom



Please write out number 8 again, unchanged.
First-principles (SCAN) data for a crystal of Y2ZrTl relaxed with PBEsol, as listed in Alexandria via LeMat-Bulk.

```
Y2ZrTl
1.0
3.452 0.000 0.000
0.000 4.465 0.000
0.000 0.000 6.639
Y Zr Tl
2 1 1
Cartesian
0.000 0.000 0.000
1.726 2.233 1.838
0.000 0.000 3.396
1.726 2.233 5.006
```

## Properties
**Density**: 7.7 g/cm3
**DFT formation energy**: -0.1255 eV per atom
**DOS(E_F)**: 4.5 states/eV/cell
**M_tot**: 0.000 μB per atom



What did the sixth record say?
First-principles (SCAN) data for a crystal of Ta2Mn relaxed with PBEsol, as listed in Alexandria via LeMat-Bulk.

```
Ta2Mn
1.0
3.102 0.000 0.000
0.000 13.239 0.000
0.000 0.000 4.425
Ta Mn
8 4
Cartesian
0.000 1.011 1.106
0.000 3.207 3.319
0.000 10.032 1.106
0.000 12.228 3.319
1.551 3.412 1.106
1.551 5.608 3.319
1.551 7.630 1.106
1.551 9.826 3.319
0.000 5.549 1.106
0.000 7.689 3.319
1.551 1.070 3.319
1.551 12.169 1.106
```

## Properties
**Density**: 15.2 g/cm3
**DFT formation energy**: -0.1484 eV per atom
**DOS(E_F)**: 4.9 states/eV/cell
**M_tot**: 0.000 μB per atom